Density functional theory data (PBE-GGA) for crystalline TlPbSCl2 at its relaxed geometry.

Geometry as POSCAR:
```
TlPbSCl2
1.0
-3.0616 4.3182 1.7486
-3.0610 -3.4419 3.1403
3.4298 0.7466 4.1615
Cl S Tl Pb
2 1 1 1
direct
0.0000 0.5000 0.0000
0.5000 0.0000 0.0000
0.0000 0.0000 0.5000
0.5000 0.5000 0.5000
0.0000 0.0000 0.0000
```

Calculated values
energy relative to the lowest polymorph listed for this composition = 0.000 eV/f.u.
space group = P4/mmm, No. 123
crystal system = tetragonal